[1]
The following is a PBE-GGA calculation of an optimized crystal structure of Tm4UBi5, from Alexandria via LeMat-Bulk.

The structure in POSCAR format:
```
Tm4UBi5
1.0
5.676 0.000 2.738
2.838 7.032 1.369
-0.217 0.000 7.703
Bi Tm U
5 4 1
Direct
0.501 0.000 0.000 Bi
0.304 0.797 0.597 Bi
0.901 0.403 0.797 Bi
0.101 0.597 0.203 Bi
0.698 0.203 0.403 Bi
0.399 0.402 0.801 Tm
0.801 0.801 0.598 Tm
0.603 0.598 0.199 Tm
0.201 0.199 0.402 Tm
0.001 0.000 0.000 U
```

Formation energy from the elements in meV/atom: -578



[2]
The following is a PBE-GGA calculation of an optimized crystal structure of TmUBi2, from Alexandria via LeMat-Bulk.

The structure in POSCAR format:
```
TmUBi2
1.0
-3.912 -1.529 -1.340
-1.220 -4.116 1.004
-4.833 0.582 6.196
Bi U Tm
2 1 1
Direct
0.748 0.748 0.757 Bi
0.252 0.252 0.243 Bi
0.500 0.500 0.500 U
0.000 0.000 0.000 Tm
```

E above lowest polymorph in meV/atom: 0
Formation energy from the elements in meV/atom: -305



Q: Among the records above, which one has the lowest formation energy from the elements?
A: Tm4UBi5



Q: Which of these has the highest formation energy from the elements?
A: TmUBi2



Q: Which of these has the lowest formation energy from the elements?
A: Tm4UBi5